The following is a GGA-PBE calculation of crystalline NbBTe2N at its relaxed geometry, from Alexandria.

Results
ΔE to the lowest computed polymorph in eV/atom: 0.000
Uncorrected formation energy in eV per atom: 0.426

Structure (POSCAR):
```
NbBTe2N
1.0
5.685 0.000 0.000
0.000 5.685 0.000
0.000 0.000 2.818
Nb B Te N
1 1 2 1
Direct
0.000 0.000 0.000
0.500 0.500 0.500
0.000 0.500 0.500
0.500 0.000 0.500
0.500 0.500 0.000
```



The following is a GGA-PBE calculation of crystalline NbV2BN at its relaxed geometry, from Alexandria.

Results
Uncorrected formation energy in eV per atom: 0.901

Structure (POSCAR):
```
NbV2BN
1.0
3.866 0.000 0.000
0.000 3.866 0.000
0.000 0.000 4.447
Nb V B N
1 2 1 1
Direct
0.000 0.000 0.000
0.000 0.500 0.500
0.500 0.000 0.500
0.000 0.000 0.500
0.500 0.500 0.000
```



The following is a GGA-PBE calculation of crystalline NdBN2 at its relaxed geometry, from Alexandria.

Results
ΔE to the lowest computed polymorph in eV/atom: 0.088
Uncorrected formation energy in eV per atom: -1.256

Structure (POSCAR):
```
NdBN2
1.0
1.915 1.106 5.055
-1.915 1.106 5.055
0.000 -2.211 5.055
Nd B N
1 1 2
Direct
0.000 0.000 0.000
0.500 0.500 0.500
0.411 0.411 0.411
0.589 0.589 0.589
```



The following is a GGA-PBE calculation of crystalline NdBN2 at its relaxed geometry, from Alexandria.

Results
ΔE to the lowest computed polymorph in eV/atom: 0.404
Uncorrected formation energy in eV per atom: -0.939

Structure (POSCAR):
```
NdBN2
1.0
5.298 0.000 0.000
0.000 5.298 0.000
0.000 0.000 4.004
Nd B N
2 2 4
Direct
0.000 0.500 0.000
0.500 0.000 0.500
0.000 0.000 0.250
0.000 0.000 0.750
0.081 0.217 0.500
0.217 0.919 0.000
0.783 0.081 0.000
0.919 0.783 0.500
```



The following is a GGA-PBE calculation of crystalline NdB6N6 at its relaxed geometry, from Alexandria.

Results
Uncorrected formation energy in eV per atom: -0.178

Structure (POSCAR):
```
NdB6N6
1.0
4.695 0.000 0.000
0.000 4.695 0.000
0.000 0.000 4.695
Nd B N
1 6 6
Direct
0.000 0.000 0.000
0.000 0.239 0.500
0.000 0.761 0.500
0.239 0.500 0.000
0.500 0.000 0.239
0.500 0.000 0.761
0.761 0.500 0.000
0.000 0.500 0.250
0.000 0.500 0.750
0.250 0.000 0.500
0.500 0.250 0.000
0.500 0.750 0.000
0.750 0.000 0.500
```



The following is a GGA-PBE calculation of crystalline NdBN2 at its relaxed geometry, from Alexandria.

Results
ΔE to the lowest computed polymorph in eV/atom: 0.089
Uncorrected formation energy in eV per atom: -1.255

Structure (POSCAR):
```
NdBN2
1.0
3.713 0.000 0.000
0.000 5.053 0.000
-0.625 0.000 5.249
Nd B N
2 2 4
Direct
0.176 0.250 0.310
0.824 0.750 0.690
0.434 0.750 0.135
0.566 0.250 0.865
0.282 0.750 0.378
0.500 0.000 0.000
0.500 0.500 0.000
0.718 0.250 0.622
```



The following is a GGA-PBE calculation of crystalline NdB2N3 at its relaxed geometry, from Alexandria.

Results
Uncorrected formation energy in eV per atom: -0.868

Structure (POSCAR):
```
NdB2N3
1.0
5.742 0.000 0.000
0.000 8.313 0.000
0.000 0.000 3.819
Nd B N
2 4 6
Direct
0.250 0.250 0.246
0.750 0.750 0.754
0.250 0.588 0.746
0.250 0.912 0.746
0.750 0.088 0.254
0.750 0.412 0.254
0.250 0.070 0.746
0.250 0.430 0.746
0.250 0.750 0.748
0.750 0.250 0.252
0.750 0.570 0.254
0.750 0.930 0.254
```



The following is a GGA-PBE calculation of crystalline Nd2B2N3 at its relaxed geometry, from Alexandria.

Results
Uncorrected formation energy in eV per atom: -0.761

Structure (POSCAR):
```
Nd2B2N3
1.0
5.442 -1.461 0.000
5.442 1.461 0.000
-0.374 0.000 5.147
Nd B N
2 2 3
Direct
0.132 0.132 0.230
0.868 0.868 0.770
0.398 0.398 0.301
0.602 0.602 0.699
0.171 0.171 0.746
0.500 0.500 0.500
0.829 0.829 0.254
```



The following is a GGA-PBE calculation of crystalline Nd3B2N6 at its relaxed geometry, from Alexandria.

Results
Uncorrected formation energy in eV per atom: -0.501

Structure (POSCAR):
```
Nd3B2N6
1.0
-1.805 1.805 10.020
1.805 -1.805 10.020
1.805 1.805 -10.020
Nd B N
3 2 6
Direct
0.000 0.000 0.000
0.180 0.180 0.000
0.820 0.820 0.000
0.380 0.380 0.000
0.620 0.620 0.000
0.089 0.589 0.500
0.307 0.307 0.000
0.411 0.911 0.500
0.589 0.089 0.500
0.693 0.693 0.000
0.911 0.411 0.500
```



The following is a GGA-PBE calculation of crystalline NdBN2 at its relaxed geometry, from Alexandria.

Results
ΔE to the lowest computed polymorph in eV/atom: 0.000
Uncorrected formation energy in eV per atom: -1.344

Structure (POSCAR):
```
NdBN2
1.0
6.082 3.511 2.330
-6.082 3.511 2.330
0.000 -7.023 2.330
Nd B N
6 6 12
Direct
0.204 0.750 0.296
0.250 0.704 0.796
0.296 0.204 0.750
0.704 0.796 0.250
0.750 0.296 0.204
0.796 0.250 0.704
0.130 0.250 0.370
0.250 0.370 0.130
0.370 0.130 0.250
0.630 0.870 0.750
0.750 0.630 0.870
0.870 0.750 0.630
0.009 0.250 0.491
0.128 0.372 0.250
0.250 0.128 0.372
0.250 0.491 0.009
0.372 0.250 0.128
0.491 0.009 0.250
0.509 0.991 0.750
0.628 0.750 0.872
0.750 0.509 0.991
0.750 0.872 0.628
0.872 0.628 0.750
0.991 0.750 0.509
```



The following is a GGA-PBE calculation of crystalline Nd3B2N4 at its relaxed geometry, from Alexandria.

Results
Uncorrected formation energy in eV per atom: -1.301

Structure (POSCAR):
```
Nd3B2N4
1.0
-1.777 3.155 5.428
1.777 -3.155 5.428
1.777 3.155 -5.428
Nd B N
3 2 4
Direct
0.000 0.000 0.000
0.298 0.798 0.500
0.702 0.202 0.500
0.357 0.500 0.857
0.643 0.500 0.143
0.125 0.381 0.744
0.363 0.619 0.744
0.637 0.381 0.256
0.875 0.619 0.256
```



The following is a GGA-PBE calculation of crystalline Nd2BN2 at its relaxed geometry, from Alexandria.

Results
Uncorrected formation energy in eV per atom: -0.703

Structure (POSCAR):
```
Nd2BN2
1.0
1.549 -7.213 0.000
1.549 7.213 0.000
0.000 0.000 6.435
Nd B N
4 2 4
Direct
0.040 0.960 0.500
0.232 0.768 0.206
0.768 0.232 0.706
0.960 0.040 0.000
0.383 0.617 0.479
0.617 0.383 0.979
0.128 0.872 0.861
0.418 0.582 0.692
0.582 0.418 0.192
0.872 0.128 0.361
```



Final energy readings, ordered: -5.845, -7.761, -8.280, -7.963, -7.469, -8.279, -8.051, -7.599, -7.557, -8.368, -8.074, -7.275 eV/atom